1.
The following is a DFT calculation (GGA-PBE) of a relaxed YTmPdRh crystal.

The total moment comes out at 0.000 μB/atom. Its formation energy is -87 kJ/mol of atoms.

The structure belongs to space group F-43m (No. 216); the cell edges are 6.897, 6.897 and 6.897 Å and the angles 90.00°, 90.00° and 90.00°. Symmetry generates all atoms from Y at (0.000, 0.000, 0.000), Tm at (0.000, 0.000, 0.500), Pd at (0.250, 0.250, 0.250) and Rh at (0.250, 0.250, 0.750).

2.
The following is a DFT calculation (GGA-PBE) of a relaxed YZrBr crystal.

For the energy relative to the lowest polymorph listed for this composition, the calculation gives 633.6 meV per atom. The total moment comes out at 0.076 μB/atom. The value obtained for the uncorrected formation energy is -0.029 eV/atom.

The structure belongs to space group P-6m2 (No. 187); the cell edges are 4.9757, 4.9757 and 3.5431 Å and the angles 90.00°, 90.00° and 120.00°. Symmetry generates all atoms from Y at (0.0000, 0.0000, 0.0000), Zr at (0.6667, 0.3333, 0.5000) and Br at (0.3333, 0.6667, 0.5000).

3.
The following is a DFT calculation (GGA-PBE) of a relaxed Ca3InGa2Au6 crystal.

The total moment comes out at 0.000 μB/atom. Its formation energy is -44 kJ/mol of atoms.

The structure belongs to space group P-3m1 (No. 164); the cell edges are 6.0677, 6.0677 and 8.7431 Å and the angles 90.00°, 90.00° and 120.00°. Symmetry generates all atoms from Ca at (0.0000, 0.0000, 0.0000), Ca at (0.3333, 0.6667, 0.6230), In at (0.0000, 0.0000, 0.5000), Ga at (0.3333, 0.6667, 0.0057) and Au at (0.1774, 0.3549, 0.2668).

4.
The following is a DFT calculation (GGA-PBE) of a relaxed CuPt crystal.

The total moment comes out at 0.000 μB/atom. Its formation energy is 98 kJ/mol of atoms.

The structure belongs to space group F-43m (No. 216); the cell edges are 5.543, 5.543 and 5.543 Å and the angles 90.00°, 90.00° and 90.00°. Symmetry generates all atoms from Cu at (0.000, 0.000, 0.000) and Pt at (0.250, 0.250, 0.750).